Version 1
VASP calculation (GGA-PBE) on Ba2TbCeO6 after structural relaxation.

The space group is Fm-3m (No. 225) and the conventional cell measures 8.891, 8.891 and 8.891 Å, with angles of 90.00, 90.00 and 90.00 degrees. The inequivalent atoms are Ba at (0.250, 0.250, 0.250), Tb at (0.000, 0.000, 0.000), Ce at (0.000, 0.000, 0.500) and O at (0.000, 0.000, 0.252).

The value obtained for the density of states at the Fermi level is 30.37 states/eV/cell.



Version 2
VASP calculation (GGA-PBE) on Ba2TbCeO6 after structural relaxation.

The space group is P2_1/c (No. 14) and the conventional cell measures 6.270, 6.264 and 10.840 Å, with angles of 90.00, 125.32 and 90.00 degrees. The inequivalent atoms are Ba at (0.242, 0.022, 0.250), Tb at (0.500, 0.000, 0.000), Ce at (0.000, 0.000, 0.500), O at (0.182, 0.228, 0.958), O at (0.232, 0.723, 0.959) and O at (0.322, 0.016, 0.748).

The value obtained for the density of states at the Fermi level is 16.65 states/eV/cell.



Least stable structure among those shown: version 1.